[1]
## FeTcTe (GGA-PBE)

Data for crystalline FeTcTe at its relaxed geometry.

Properties
* calculated total energy: -6.81 eV per atom
* relative energy among the computed polymorphs: 435 meV per atom
* total magnetization: 2.13 μB/cell
* symmetry: P3m1, No. 156
* E_form (uncorrected): 517 meV/atom

a = 4.250 Å, b = 4.250 Å, c = 3.038 Å
α = 90.00°, β = 90.00°, γ = 120.00°
Each line ends with the local moment (μB).
Atoms (fractional coordinates):
Fe 0.000 0.000 0.832  1.83
Tc 0.667 0.333 0.333  0.34
Te 0.333 0.667 0.834  -0.04

***

[2]
## FeTc2Te (GGA-PBE)

Data for crystalline FeTc2Te at its relaxed geometry.

Properties
* calculated total energy: -7.76 eV per atom
* total magnetization: 2.52 μB/cell
* symmetry: P4/mmm, No. 123
* E_form (uncorrected): 325 meV/atom

a = 3.147 Å, b = 3.147 Å, c = 6.301 Å
α = 90.00°, β = 90.00°, γ = 90.00°
Each line ends with the local moment (μB).
Atoms (fractional coordinates):
Fe 0.500 0.500 0.750  2.50
Tc 0.000 0.000 0.974  -0.02
Tc 0.000 0.000 0.526  -0.02
Te 0.500 0.500 0.250  0.01

***

Question: E_form (uncorrected) of number 1 (FeTcTe)?
Answer: 517 meV/atom

***

Question: Which value of total magnetization does entry 1 give?
Answer: 2.13 μB/cell

***

Question: calculated total energy of number 2 (FeTc2Te)?
Answer: -7.76 eV per atom

***

Question: Which of these has the lowest E_form (uncorrected)?
Answer: FeTc2Te